[1]
This record from Alexandria describes TbTmCdRh after structural relaxation. The functional is PBE.

Values from the calculation:
**Final energy**: -19.5 eV per cell

a = 5.031 Å, b = 5.031 Å, c = 5.031 Å
α = 60.00°, β = 60.00°, γ = 60.00°
Fractional coordinates of all 4 atoms:
Tb: 0.000 0.000 0.000
Tm: 0.500 0.500 0.500
Cd: 0.250 0.250 0.250
Rh: 0.750 0.750 0.750

***

[2]
This record from Alexandria describes Pm4CoSI2 after structural relaxation. The functional is PBE.

Values from the calculation:
**Final energy**: -41.6 eV per cell
**ΔE_f (raw)**: -1028 meV per atom

a = 7.411 Å, b = 4.013 Å, c = 8.142 Å
α = 90.00°, β = 106.79°, γ = 90.00°
Fractional coordinates of all 8 atoms:
Pm: 0.205 0.000 0.183
Pm: 0.261 0.500 0.813
Pm: 0.739 0.500 0.187
Pm: 0.795 0.000 0.817
Co: 0.000 0.500 0.000
S: 0.500 0.000 0.000
I: 0.000 0.000 0.500
I: 0.500 0.500 0.500

***

[3]
This record from Alexandria describes Sc2Tl2Ge after structural relaxation. The functional is PBE.

Values from the calculation:
**Final energy**: -46.6 eV per cell

a = 7.170 Å, b = 7.170 Å, c = 4.741 Å
α = 90.00°, β = 90.00°, γ = 90.00°
Fractional coordinates of all 10 atoms:
Sc: 0.162 0.338 0.000
Sc: 0.338 0.838 0.000
Sc: 0.662 0.162 0.000
Sc: 0.838 0.662 0.000
Tl: 0.153 0.653 0.500
Tl: 0.347 0.153 0.500
Tl: 0.653 0.847 0.500
Tl: 0.847 0.347 0.500
Ge: 0.000 0.000 0.000
Ge: 0.500 0.500 0.000

***

[4]
This record from Alexandria describes Nb2CrCo3 after structural relaxation. The functional is PBE.

Values from the calculation:
**Final energy**: -52.0 eV per cell

a = 4.757 Å, b = 4.757 Å, c = 4.757 Å
α = 61.22°, β = 61.22°, γ = 61.22°
Fractional coordinates of all 6 atoms:
Nb: 0.126 0.126 0.126
Nb: 0.874 0.874 0.874
Cr: 0.500 0.500 0.500
Co: 0.000 0.500 0.500
Co: 0.500 0.000 0.500
Co: 0.500 0.500 0.000

***

[5]
This record from Alexandria describes Be2TeRh after structural relaxation. The functional is PBE.

Values from the calculation:
**Final energy**: -18.0 eV per cell
**ΔE_f (raw)**: -24 meV per atom

a = 4.326 Å, b = 4.326 Å, c = 4.166 Å
α = 90.00°, β = 90.00°, γ = 127.26°
Fractional coordinates of all 4 atoms:
Be: 0.191 0.809 0.000
Be: 0.809 0.191 0.000
Te: 0.000 0.000 0.500
Rh: 0.500 0.500 0.000

***

[6]
This record from Alexandria describes AgP5 after structural relaxation. The functional is PBE.

Values from the calculation:
**Final energy**: -27.5 eV per cell

a = 4.116 Å, b = 8.344 Å, c = 8.344 Å
α = 22.45°, β = 90.00°, γ = 90.00°
Fractional coordinates of all 6 atoms:
Ag: 0.000 0.000 0.000
P: 0.000 0.342 0.342
P: 0.000 0.743 0.743
P: 0.500 0.135 0.135
P: 0.500 0.544 0.544
P: 0.500 0.824 0.824

***

[7]
This record from Alexandria describes Ca2OsW after structural relaxation. The functional is PBE.

Values from the calculation:
**Final energy**: -26.3 eV per cell

a = 5.917 Å, b = 5.917 Å, c = 5.917 Å
α = 144.09°, β = 127.86°, γ = 64.94°
Fractional coordinates of all 4 atoms:
Ca: 0.000 0.000 0.000
Ca: 0.719 0.219 0.500
Os: 0.452 0.452 0.000
W: 0.296 0.796 0.500

***

[8]
This record from Alexandria describes KTl2GeTe4 after structural relaxation. The functional is PBE.

Values from the calculation:
**Final energy**: -49.4 eV per cell
**ΔE_f (raw)**: -212 meV per atom

a = 9.127 Å, b = 9.127 Å, c = 9.127 Å
α = 122.04°, β = 118.84°, γ = 89.27°
Fractional coordinates of all 16 atoms:
K: 0.500 0.000 0.000
K: 0.500 0.500 0.500
Tl: 0.000 0.000 0.000
Tl: 0.000 0.000 0.500
Tl: 0.000 0.500 0.000
Tl: 0.500 0.000 0.500
Ge: 0.000 0.500 0.500
Ge: 0.500 0.500 0.000
Te: 0.214 0.738 0.476
Te: 0.238 0.262 0.976
Te: 0.241 0.264 0.523
Te: 0.241 0.718 0.977
Te: 0.759 0.282 0.023
Te: 0.759 0.736 0.477
Te: 0.762 0.738 0.024
Te: 0.786 0.262 0.524

***

Repeat the fifth record exactly.
This record from Alexandria describes Be2TeRh after structural relaxation. The functional is PBE.

Values from the calculation:
**Final energy**: -18.0 eV per cell
**ΔE_f (raw)**: -24 meV per atom

a = 4.326 Å, b = 4.326 Å, c = 4.166 Å
α = 90.00°, β = 90.00°, γ = 127.26°
Fractional coordinates of all 4 atoms:
Be: 0.191 0.809 0.000
Be: 0.809 0.191 0.000
Te: 0.000 0.000 0.500
Rh: 0.500 0.500 0.000

***

The highest final energy belongs to which entry?
Be2TeRh

***

Which value of final energy does entry 3 give?
-46.6 eV per cell